{
  "formula": "ZnCoRe2O",
  "functional": "GGA-PBEsol",
  "state": "optimized geometry",
  "energy_ev_per_atom": -5.529,
  "dos_ef_per_ev_atom": 1.6090,
  "rho_g_cm3": 10.3,
  "e_form_raw_kcal_per_mol_atoms": 62.7,
  "lattice": [[-2.273, -0.769, -3.337], [2.072, -3.951, -0.501], [-3.114, -1.959, 2.572]],
  "species": ["O", "Co", "Re", "Zn", "Re"],
  "fractional_positions": [[0.500, 0.500, 0.500], [0.500, 0.000, 0.000], [0.000, 0.500, 0.000], [0.000, 0.000, 0.000], [0.000, 0.000, 0.500]]
}